{"formula": "ZnW2", "functional": "PBE", "state": "relaxed", "sg": "Fd-3m", "total_magnetization_mub_per_cell": 0.0, "total_energy_ev_per_atom": -8.31, "formation_energy_ev_per_atom": 0.76, "lattice_angstrom": [[0.000, 3.738, 3.738], [3.738, 0.000, 3.738], [3.738, 3.738, 0.000]], "species": ["Zn", "Zn", "W", "W", "W", "W"], "fractional_positions": [[0.125, 0.125, 0.125], [0.875, 0.875, 0.875], [0.000, 0.500, 0.500], [0.500, 0.000, 0.500], [0.500, 0.500, 0.000], [0.500, 0.500, 0.500]]}